Computed, not measured: crystalline Na3Tb3AsS8 at its relaxed geometry at the PBE level of DFT.

As for the density: 4.0 Mg/m³. As for the space group: No. 166. The energy relative to the elements, uncorrected comes out at -21.42 eV/f.u.

Cell and atoms, written as extended XYZ:
```
15
Lattice="7.870 0.000 0.000 -3.935 6.816 -0.025 0.000 -4.521 6.751" Properties=species:S:1:pos:R:3 pbc="T T T"
Na 0.000 0.000 0.000
Na -1.968 3.408 -0.013
Na 1.968 3.408 -0.013
Tb 3.935 -2.261 3.375
Tb 1.968 1.147 3.363
Tb -1.968 1.147 3.363
As 0.000 -2.261 3.375
S 0.000 2.278 1.826
S 3.935 0.017 4.900
S 3.935 2.459 1.926
S 0.000 -0.165 4.800
S 6.060 -1.221 1.939
S -2.125 3.515 4.786
S 1.810 -1.221 1.939
S 2.125 3.515 4.786
```